# 1
Here is NaDy2PuTe4 after structural relaxation from the Alexandria database. Energies are from PBE.

The structure belongs to space group P2/m (No. 10); the cell edges are 7.6466, 4.3853 and 7.7327 Å and the angles 90.00°, 109.12° and 90.00°. The asymmetric unit holds Na at (0.0000, 0.0000, 0.0000), Dy at (0.0000, 0.5000, 0.5000), Dy at (0.5000, 0.0000, 0.5000), Pu at (0.5000, 0.5000, 0.0000), Te at (0.2474, 0.0000, 0.7440) and Te at (0.2521, 0.5000, 0.2587).

The total magnetization comes out at 6.05 μB/f.u. The value obtained for the electronic total energy is -5.926 eV/atom.


# 2
Here is Na3Dy3PuTe8 after structural relaxation from the Alexandria database. Energies are from PBE.

The structure belongs to space group C2/m (No. 12); the cell edges are 15.2808, 8.8239 and 9.1465 Å and the angles 90.00°, 123.89° and 90.00°. The asymmetric unit holds Na at (0.0000, 0.0000, 0.0000), Na at (0.2500, 0.2500, 0.0000), Dy at (0.0000, 0.5000, 0.5000), Dy at (0.2500, 0.2500, 0.5000), Pu at (0.0000, 0.0000, 0.5000), Te at (0.0068, 0.2504, 0.2703), Te at (0.2437, 0.0000, 0.7297) and Te at (0.2444, 0.5000, 0.7330).

The total magnetization comes out at 4.00 μB/f.u. The value obtained for the electronic total energy is -5.008 eV/atom.


# 3
Here is NaDy3Rh8 after structural relaxation from the Alexandria database. Energies are from PBE.

The structure belongs to space group R3m (No. 160, hexagonal axes); the cell edges are 5.3061, 5.3061 and 26.1455 Å and the angles 90.00°, 90.00° and 120.00°. The asymmetric unit holds Na at (0.0000, 0.0000, 0.0000), Dy at (0.0000, 0.0000, 0.3685), Dy at (0.0000, 0.0000, 0.4974), Dy at (0.0000, 0.0000, 0.8788), Rh at (0.0000, 0.0000, 0.1858), Rh at (0.0000, 0.0000, 0.6858), Rh at (0.0011, 0.5006, 0.4365) and Rh at (0.1677, 0.3353, 0.2684).

The total magnetization comes out at 0.00 μB/f.u. Its calculated formation energy is -563 meV/atom.


# 4
Here is NaDyRh4 after structural relaxation from the Alexandria database. Energies are from PBE.

The structure belongs to space group F-43m (No. 216); the cell edges are 7.4799, 7.4799 and 7.4799 Å and the angles 90.00°, 90.00° and 90.00°. The asymmetric unit holds Na at (0.0000, 0.0000, 0.0000), Dy at (0.2500, 0.2500, 0.7500) and Rh at (0.1251, 0.1251, 0.3749).

The total magnetization comes out at 0.01 μB/f.u. Its calculated formation energy is -341 meV/atom.


# 5
Here is NaDyRh after structural relaxation from the Alexandria database. Energies are from PBE.

The structure belongs to space group C2/m (No. 12); the cell edges are 5.6999, 5.5686 and 9.1093 Å and the angles 90.00°, 108.07° and 90.00°. The asymmetric unit holds Na at (0.2465, 0.0000, 0.4985), Dy at (0.1862, 0.5000, 0.8711) and Rh at (0.1530, 0.0000, 0.8033).

The total magnetization comes out at 0.00 μB/f.u. Its calculated formation energy is -316 meV/atom.


# 6
Here is NaDySbRh after structural relaxation from the Alexandria database. Energies are from PBE.

The structure belongs to space group F-43m (No. 216); the cell edges are 6.8286, 6.8286 and 6.8286 Å and the angles 90.00°, 90.00° and 90.00°. The asymmetric unit holds Na at (0.0000, 0.0000, 0.0000), Dy at (0.2500, 0.2500, 0.2500), Sb at (0.2500, 0.2500, 0.7500) and Rh at (0.0000, 0.0000, 0.5000).

The total magnetization comes out at 0.00 μB/f.u. The value obtained for the electronic total energy is -4.941 eV/atom.


# 7
Here is NaDy2Ru after structural relaxation from the Alexandria database. Energies are from PBE.

The structure belongs to space group R-3m (No. 166, hexagonal axes); the cell edges are 3.9544, 3.9544 and 27.7634 Å and the angles 90.00°, 90.00° and 120.00°. The asymmetric unit holds Na at (0.0000, 0.0000, 0.0000), Dy at (0.0000, 0.0000, 0.2199) and Ru at (0.0000, 0.0000, 0.5000).

The total magnetization comes out at 0.00 μB/f.u. Its calculated formation energy is -77 meV/atom. The offset from the most stable computed form is 142 meV per atom.


# 8
Here is NaDy2Ru after structural relaxation from the Alexandria database. Energies are from PBE.

The structure belongs to space group P4/mmm (No. 123); the cell edges are 3.4036, 3.4036 and 9.4301 Å and the angles 90.00°, 90.00° and 90.00°. The asymmetric unit holds Na at (0.0000, 0.0000, 0.0000), Dy at (0.5000, 0.5000, 0.3258) and Ru at (0.0000, 0.0000, 0.5000).

The total magnetization comes out at 0.00 μB/f.u. Its calculated formation energy is -219 meV/atom. The offset from the most stable computed form is 0 meV per atom.


# 9
Here is NaDy2S after structural relaxation from the Alexandria database. Energies are from PBE.

The structure belongs to space group R-3m (No. 166, hexagonal axes); the cell edges are 3.7090, 3.7090 and 30.7229 Å and the angles 90.00°, 90.00° and 120.00°. The asymmetric unit holds Na at (0.0000, 0.0000, 0.0000), Dy at (0.0000, 0.0000, 0.1139) and S at (0.0000, 0.0000, 0.5000).

The total magnetization comes out at 0.00 μB/f.u. The value obtained for the electronic total energy is -4.410 eV/atom.


# 10
Here is NaDy5S6 after structural relaxation from the Alexandria database. Energies are from PBE.

The structure belongs to space group C2/m (No. 12); the cell edges are 6.7801, 11.7301 and 6.7979 Å and the angles 90.00°, 109.43° and 90.00°. The asymmetric unit holds Na at (0.0000, 0.0000, 0.0000), Dy at (0.0000, 0.1631, 0.5000), Dy at (0.0000, 0.3345, 0.0000), Dy at (0.0000, 0.5000, 0.5000), S at (0.2489, 0.3324, 0.7476) and S at (0.2495, 0.5000, 0.2467).

The total magnetization comes out at 0.00 μB/f.u. The value obtained for the electronic total energy is -6.038 eV/atom.


# 11
Here is NaDy3S4 after structural relaxation from the Alexandria database. Energies are from PBE.

The structure belongs to space group Pm-3m (No. 221); the cell edges are 5.5368, 5.5368 and 5.5368 Å and the angles 90.00°, 90.00° and 90.00°. The asymmetric unit holds Na at (0.0000, 0.0000, 0.0000), Dy at (0.0000, 0.5000, 0.5000), S at (0.0000, 0.0000, 0.5000) and S at (0.5000, 0.5000, 0.5000).

The total magnetization comes out at 0.00 μB/f.u. The value obtained for the electronic total energy is -5.885 eV/atom.


# 12
Here is NaDy5S8 after structural relaxation from the Alexandria database. Energies are from PBE.

The structure belongs to space group I-4 (No. 82); the cell edges are 8.3498, 8.3498 and 8.3304 Å and the angles 90.00°, 90.00° and 90.00°. The asymmetric unit holds Na at (0.0000, 0.0000, 0.0000), Dy at (0.0000, 0.5000, 0.2500), Dy at (0.1317, 0.2544, 0.6280), S at (0.0706, 0.1841, 0.3136) and S at (0.0743, 0.3257, 0.9467).

The total magnetization comes out at 0.00 μB/f.u. The value obtained for the electronic total energy is -6.078 eV/atom.


# 13
Here is NaDy2S3 after structural relaxation from the Alexandria database. Energies are from PBE.

The structure belongs to space group Immm (No. 71); the cell edges are 3.9200, 5.5530 and 11.9402 Å and the angles 90.00°, 90.00° and 90.00°. The asymmetric unit holds Na at (0.0000, 0.0000, 0.0000), Dy at (0.0000, 0.0000, 0.3372), S at (0.0000, 0.5000, 0.0000) and S at (0.0000, 0.5000, 0.3271).

The total magnetization comes out at 0.00 μB/f.u. The value obtained for the electronic total energy is -5.701 eV/atom.


# 14
Here is Na3DySb2S6 after structural relaxation from the Alexandria database. Energies are from PBE.

The structure belongs to space group C2/m (No. 12); the cell edges are 6.9254, 11.9982 and 7.0887 Å and the angles 90.00°, 108.99° and 90.00°. The asymmetric unit holds Na at (0.0000, 0.0000, 0.0000), Na at (0.0000, 0.3293, 0.0000), Dy at (0.0000, 0.5000, 0.5000), Sb at (0.0000, 0.1662, 0.5000), S at (0.2416, 0.3344, 0.7281) and S at (0.2448, 0.0000, 0.7290).

The total magnetization comes out at 0.00 μB/f.u. The value obtained for the electronic total energy is -4.516 eV/atom.


# 15
Here is Na4Dy3SbS8 after structural relaxation from the Alexandria database. Energies are from PBE.

The structure belongs to space group R-3m (No. 166, hexagonal axes); the cell edges are 7.9879, 7.9879 and 20.0353 Å and the angles 90.00°, 90.00° and 120.00°. The asymmetric unit holds Na at (0.0000, 0.0000, 0.0000), Na at (0.0000, 0.5000, 0.0000), Dy at (0.0000, 0.5000, 0.5000), Sb at (0.0000, 0.0000, 0.5000), S at (0.0000, 0.0000, 0.2421) and S at (0.0012, 0.5006, 0.7577).

The total magnetization comes out at 0.00 μB/f.u. The value obtained for the electronic total energy is -5.065 eV/atom.


# 16
Here is Na3Dy3SbS8 after structural relaxation from the Alexandria database. Energies are from PBE.

The structure belongs to space group R-3m (No. 166, hexagonal axes); the cell edges are 7.9138, 7.9138 and 20.2117 Å and the angles 90.00°, 90.00° and 120.00°. The asymmetric unit holds Na at (0.0000, 0.5000, 0.0000), Dy at (0.0000, 0.5000, 0.5000), Sb at (0.0000, 0.0000, 0.5000), S at (0.0000, 0.0000, 0.2418) and S at (0.0114, 0.5057, 0.2399).

The total magnetization comes out at 0.00 μB/f.u. The value obtained for the electronic total energy is -5.159 eV/atom.


# 17
Here is Na4Dy3ScS8 after structural relaxation from the Alexandria database. Energies are from PBE.

The structure belongs to space group R-3m (No. 166, hexagonal axes); the cell edges are 7.8681, 7.8681 and 20.0021 Å and the angles 90.00°, 90.00° and 120.00°. The asymmetric unit holds Na at (0.0000, 0.0000, 0.0000), Na at (0.0000, 0.5000, 0.0000), Dy at (0.0000, 0.5000, 0.5000), Sc at (0.0000, 0.0000, 0.5000), S at (0.0000, 0.0000, 0.2428) and S at (0.0109, 0.5055, 0.2408).

The total magnetization comes out at 0.00 μB/f.u. The value obtained for the electronic total energy is -5.468 eV/atom.


# 18
Here is NaDy4ScS8 after structural relaxation from the Alexandria database. Energies are from PBE.

The structure belongs to space group R3m (No. 160, hexagonal axes); the cell edges are 8.0749, 8.0749 and 19.3316 Å and the angles 90.00°, 90.00° and 120.00°. The asymmetric unit holds Na at (0.0000, 0.0000, 0.0000), Dy at (0.0000, 0.0000, 0.2451), Dy at (0.1723, 0.3445, 0.4542), Sc at (0.0000, 0.0000, 0.6287), S at (0.0000, 0.0000, 0.3797), S at (0.0000, 0.0000, 0.8621), S at (0.0375, 0.5187, 0.3711) and S at (0.1807, 0.3613, 0.2053).

The total magnetization comes out at 0.00 μB/f.u. The value obtained for the electronic total energy is -6.143 eV/atom.


# 19
Here is Na3DySc2S6 after structural relaxation from the Alexandria database. Energies are from PBE.

The structure belongs to space group C2/m (No. 12); the cell edges are 6.6569, 11.5353 and 7.0088 Å and the angles 90.00°, 108.51° and 90.00°. The asymmetric unit holds Na at (0.0000, 0.0000, 0.0000), Na at (0.0000, 0.3349, 0.0000), Dy at (0.0000, 0.5000, 0.5000), Sc at (0.0000, 0.1670, 0.5000), S at (0.2275, 0.0000, 0.7199) and S at (0.2462, 0.3271, 0.7191).

The total magnetization comes out at 0.00 μB/f.u. The value obtained for the electronic total energy is -5.605 eV/atom.


# 20
Here is NaDy2ScS4 after structural relaxation from the Alexandria database. Energies are from PBE.

The structure belongs to space group P2/m (No. 10); the cell edges are 6.6549, 3.8590 and 6.7598 Å and the angles 90.00°, 109.25° and 90.00°. The asymmetric unit holds Na at (0.0000, 0.0000, 0.0000), Dy at (0.5000, 0.0000, 0.5000), Dy at (0.5000, 0.5000, 0.0000), Sc at (0.0000, 0.5000, 0.5000), S at (0.2404, 0.0000, 0.7411) and S at (0.2482, 0.5000, 0.2576).

The total magnetization comes out at 0.00 μB/f.u. The value obtained for the electronic total energy is -6.033 eV/atom.